No. 1
BeAlSb3 PBE-GGA optimized geometry; energy relative to the elements, uncorrected = 1031 meV/atom; SG = No. 221; electronic total energy = -2.94 eV/atom; energy above the lowest structure with this stoichiometry = 2.41 eV/f.u.
1.0
5.244 0.000 0.000
0.000 5.244 0.000
0.000 0.000 5.244
Sb Al Be
3 1 1
Direct
0.000 0.500 0.000
0.000 0.000 0.500
0.500 0.000 0.000
0.000 0.000 0.000
0.500 0.500 0.500

***

No. 2
Be2AlSb PBE-GGA optimized geometry; energy relative to the elements, uncorrected = 583 meV/atom; SG = No. 12; electronic total energy = -3.25 eV/atom; energy above the lowest structure with this stoichiometry = 1.27 eV/f.u.
1.0
-1.879 -2.682 -3.077
4.203 -1.540 0.394
-0.713 -2.483 2.066
Sb Al Be
1 1 2
Direct
0.500 0.000 0.500
0.000 0.500 0.500
0.000 0.000 0.000
0.500 0.500 0.000

***

No. 3
Be2AlSb PBE-GGA optimized geometry; energy relative to the elements, uncorrected = 552 meV/atom; SG = No. 47; electronic total energy = -3.28 eV/atom; energy above the lowest structure with this stoichiometry = 1.15 eV/f.u.
1.0
3.791 0.000 0.000
0.000 4.451 0.000
0.000 0.000 3.689
Sb Al Be
1 1 2
Direct
0.500 0.000 0.500
0.000 0.500 0.500
0.000 0.000 0.000
0.500 0.500 0.000

***

No. 4
Be2AlSb PBE-GGA optimized geometry; energy relative to the elements, uncorrected = 626 meV/atom; SG = No. 225; electronic total energy = -3.20 eV/atom; energy above the lowest structure with this stoichiometry = 1.44 eV/f.u.
1.0
1.482 1.479 3.938
-2.890 1.488 3.054
-0.753 -2.373 3.700
Sb Al Be
1 1 2
Direct
0.500 0.500 0.500
0.000 0.000 0.000
0.250 0.250 0.250
0.750 0.750 0.750

***

No. 5
BeAl3Sb PBE-GGA optimized geometry; energy relative to the elements, uncorrected = 1341 meV/atom; SG = No. 221; electronic total energy = -2.47 eV/atom; energy above the lowest structure with this stoichiometry = 5.26 eV/f.u.
1.0
5.325 0.000 0.000
0.000 5.325 0.000
0.000 0.000 5.325
Sb Al Be
1 3 1
Direct
0.000 0.000 0.000
0.000 0.500 0.000
0.000 0.000 0.500
0.500 0.000 0.000
0.500 0.500 0.500

***

No. 6
Be2AlSb PBE-GGA optimized geometry; energy relative to the elements, uncorrected = 497 meV/atom; SG = No. 47; electronic total energy = -3.33 eV/atom; energy above the lowest structure with this stoichiometry = 0.92 eV/f.u.
1.0
-0.065 0.248 -2.914
3.096 -1.878 -0.229
-3.090 -5.050 -0.360
Sb Al Be
1 1 2
Direct
0.500 0.500 0.250
0.500 0.500 0.750
0.000 0.000 0.934
0.000 0.000 0.566

***

No. 7
Be2AlSb PBE-GGA optimized geometry; energy relative to the elements, uncorrected = 467 meV/atom; SG = No. 35; electronic total energy = -3.36 eV/atom; energy above the lowest structure with this stoichiometry = 0.81 eV/f.u.
1.0
-2.307 1.878 0.485
-1.521 -2.108 -1.526
-1.457 -3.363 6.099
Sb Al Be
1 1 2
Direct
0.000 0.000 0.449
0.500 0.500 0.832
0.000 0.000 0.037
0.500 0.500 0.181

***

No. 8
BeAlSb3 PBE-GGA optimized geometry; energy relative to the elements, uncorrected = 549 meV/atom; SG = No. 221; electronic total energy = -3.42 eV/atom; energy above the lowest structure with this stoichiometry = 0.00 eV/f.u.
1.0
-4.857 -0.463 -0.786
0.258 -4.782 1.220
-0.875 1.158 4.724
Sb Al Be
3 1 1
Direct
0.000 0.500 0.000
0.000 0.000 0.500
0.500 0.000 0.000
0.500 0.500 0.500
0.000 0.000 0.000

***

No. 9
Be2AlSb PBE-GGA optimized geometry; energy relative to the elements, uncorrected = 427 meV/atom; SG = No. 10; electronic total energy = -3.40 eV/atom; energy above the lowest structure with this stoichiometry = 0.65 eV/f.u.
1.0
3.693 0.000 0.000
0.000 2.969 0.019
0.000 0.594 5.900
Sb Al Be
1 1 2
Direct
0.500 0.250 0.250
0.500 0.750 0.750
0.000 0.245 0.929
0.000 0.255 0.571

***

No. 10
BeAl3Sb PBE-GGA optimized geometry; energy relative to the elements, uncorrected = 290 meV/atom; SG = No. 221; electronic total energy = -3.53 eV/atom; energy above the lowest structure with this stoichiometry = 0.00 eV/f.u.
1.0
-0.422 3.639 -2.663
-3.756 1.197 2.230
2.496 2.416 2.906
Sb Al Be
1 3 1
Direct
0.500 0.500 0.500
0.000 0.500 0.000
0.000 0.000 0.500
0.500 0.000 0.000
0.000 0.000 0.000

***

No. 11
Be2AlSb PBE-GGA optimized geometry; energy relative to the elements, uncorrected = 427 meV/atom; SG = No. 44; electronic total energy = -3.40 eV/atom; energy above the lowest structure with this stoichiometry = 0.64 eV/f.u.
1.0
5.809 -0.036 -0.003
3.663 4.508 0.003
-4.778 -2.146 2.511
Sb Al Be
1 1 2
Direct
0.487 0.487 0.000
0.751 0.251 0.500
0.078 0.078 0.000
0.184 0.684 0.500

***

No. 12
Be2AlSb PBE-GGA optimized geometry; energy relative to the elements, uncorrected = 580 meV/atom; SG = No. 65; electronic total energy = -3.25 eV/atom; energy above the lowest structure with this stoichiometry = 1.26 eV/f.u.
1.0
4.691 0.099 0.000
-1.171 4.544 0.000
0.000 0.000 2.923
Sb Al Be
1 1 2
Direct
0.500 0.000 0.500
0.000 0.500 0.500
0.000 0.000 0.000
0.500 0.500 0.000

***

No. 13
Be2Al2Sb PBE-GGA optimized geometry; energy relative to the elements, uncorrected = 366 meV/atom; SG = No. 127; electronic total energy = -3.45 eV/atom; energy above the lowest structure with this stoichiometry = 0.00 eV/f.u.
1.0
7.278 0.000 0.000
0.000 7.278 0.000
0.000 0.000 2.973
Sb Al Be
2 4 4
Direct
0.000 0.000 0.000
0.500 0.500 0.000
0.178 0.678 0.500
0.678 0.822 0.500
0.822 0.322 0.500
0.322 0.178 0.500
0.390 0.890 0.000
0.890 0.610 0.000
0.610 0.110 0.000
0.110 0.390 0.000

***

No. 14
Be2AlSb PBE-GGA optimized geometry; energy relative to the elements, uncorrected = 526 meV/atom; SG = No. 166; electronic total energy = -3.30 eV/atom; energy above the lowest structure with this stoichiometry = 1.04 eV/f.u.
1.0
-5.248 5.458 0.031
-7.026 2.813 0.243
-5.707 4.066 2.869
Sb Al Be
1 1 2
Direct
0.250 0.250 0.250
0.750 0.750 0.750
0.003 0.003 0.003
0.497 0.497 0.497

***

No. 15
Be2AlSb PBE-GGA optimized geometry; energy relative to the elements, uncorrected = 675 meV/atom; SG = No. 122; electronic total energy = -3.15 eV/atom; energy above the lowest structure with this stoichiometry = 1.64 eV/f.u.
1.0
6.168 0.000 0.000
0.000 6.168 0.000
3.084 3.084 4.248
Sb Al Be
2 2 4
Direct
0.000 0.000 0.000
0.750 0.250 0.500
0.500 0.500 0.000
0.250 0.750 0.500
0.632 0.125 0.250
0.118 0.625 0.250
0.375 0.368 0.750
0.875 0.882 0.750

***

No. 16
BeAl4Sb PBE-GGA optimized geometry; energy relative to the elements, uncorrected = 437 meV/atom; SG = No. 216; electronic total energy = -3.37 eV/atom
1.0
0.000 3.798 3.798
3.798 0.000 3.798
3.798 3.798 0.000
Be Al Sb
1 4 1
Direct
0.750 0.750 0.750
0.874 0.375 0.375
0.375 0.375 0.874
0.375 0.874 0.375
0.375 0.375 0.375
0.000 0.000 0.000

***

No. 17
Be3AlSb PBE-GGA optimized geometry; energy relative to the elements, uncorrected = 1047 meV/atom; SG = No. 221; electronic total energy = -2.76 eV/atom; energy above the lowest structure with this stoichiometry = 0.00 eV/f.u.
1.0
-0.640 -2.754 -3.409
2.497 -3.060 2.003
-3.601 -1.633 1.995
Sb Al Be
1 1 3
Direct
0.500 0.500 0.500
0.000 0.000 0.000
0.000 0.500 0.000
0.000 0.000 0.500
0.500 0.000 0.000

***

No. 18
Be2AlSb PBE-GGA optimized geometry; energy relative to the elements, uncorrected = 458 meV/atom; SG = No. 25; electronic total energy = -3.37 eV/atom; energy above the lowest structure with this stoichiometry = 0.77 eV/f.u.
1.0
2.906 0.000 0.000
0.000 3.200 0.000
0.000 0.000 6.930
Sb Al Be
1 1 2
Direct
0.000 0.000 0.436
0.500 0.500 0.831
0.000 0.000 0.045
0.500 0.500 0.188

***

No. 19
Be2AlSb PBE-GGA optimized geometry; energy relative to the elements, uncorrected = 408 meV/atom; SG = No. 12; electronic total energy = -3.42 eV/atom; energy above the lowest structure with this stoichiometry = 0.57 eV/f.u.
1.0
-1.052 -3.612 1.991
1.590 -2.499 3.057
-2.560 1.730 4.535
Sb Al Be
1 1 2
Direct
0.750 0.750 0.750
0.250 0.250 0.250
0.998 0.998 0.090
0.502 0.502 0.410

***

No. 20
Be4AlSb PBE-GGA optimized geometry; energy relative to the elements, uncorrected = 420 meV/atom; SG = No. 216; electronic total energy = -3.37 eV/atom
1.0
-0.918 -3.930 2.496
-3.926 -2.513 -0.890
0.326 -4.257 -2.071
Be Al Sb
4 1 1
Direct
0.885 0.372 0.372
0.372 0.372 0.885
0.372 0.885 0.372
0.372 0.372 0.372
0.000 0.000 0.000
0.750 0.750 0.750

***

No. 21
Be2AlSb PBE-GGA optimized geometry; energy relative to the elements, uncorrected = 266 meV/atom; SG = No. 8; electronic total energy = -3.56 eV/atom; energy above the lowest structure with this stoichiometry = 0.00 eV/f.u.
1.0
-1.903 -0.353 3.146
-0.893 -3.363 1.240
3.688 -1.422 4.198
Sb Al Be
1 1 2
Direct
0.474 0.474 0.571
0.289 0.289 0.141
0.033 0.033 0.902
0.705 0.705 0.886

***

No. 22
Be3AlSb PBE-GGA optimized geometry; energy relative to the elements, uncorrected = 1287 meV/atom; SG = No. 221; electronic total energy = -2.52 eV/atom; energy above the lowest structure with this stoichiometry = 1.20 eV/f.u.
1.0
-0.056 3.027 3.555
3.290 -2.498 2.178
3.313 2.531 -2.102
Sb Al Be
1 1 3
Direct
0.000 0.000 0.000
0.500 0.500 0.500
0.000 0.500 0.000
0.000 0.000 0.500
0.500 0.000 0.000

***

No. 23
BeAlSb2Te PBE-GGA optimized geometry; energy relative to the elements, uncorrected = 515 meV/atom; SG = No. 123; electronic total energy = -3.26 eV/atom; energy above the lowest structure with this stoichiometry = 0.00 eV/f.u.
1.0
4.798 0.000 0.000
0.000 4.798 0.000
0.000 0.000 5.451
Sb Te Al Be
2 1 1 1
Direct
0.000 0.500 0.000
0.500 0.000 0.000
0.000 0.000 0.500
0.500 0.500 0.500
0.000 0.000 0.000

***

No. 24
BeAlSbTe2 PBE-GGA optimized geometry; energy relative to the elements, uncorrected = 439 meV/atom; SG = No. 123; electronic total energy = -3.14 eV/atom; energy above the lowest structure with this stoichiometry = 0.00 eV/f.u.
1.0
-3.600 -2.308 2.994
3.281 0.145 4.058
-1.685 4.202 1.213
Sb Te Al Be
1 2 1 1
Direct
0.000 0.000 0.500
0.000 0.500 0.000
0.500 0.000 0.000
0.500 0.500 0.500
0.000 0.000 0.000

***

No. 25
BeAlSbTe2 PBE-GGA optimized geometry; energy relative to the elements, uncorrected = 873 meV/atom; SG = No. 123; electronic total energy = -2.70 eV/atom; energy above the lowest structure with this stoichiometry = 2.17 eV/f.u.
1.0
5.325 0.000 0.000
0.000 5.325 0.000
0.000 0.000 5.257
Sb Te Al Be
1 2 1 1
Direct
0.000 0.000 0.500
0.000 0.500 0.000
0.500 0.000 0.000
0.000 0.000 0.000
0.500 0.500 0.500

***

No. 26
BeAlSb2Te PBE-GGA optimized geometry; energy relative to the elements, uncorrected = 962 meV/atom; SG = No. 123; electronic total energy = -2.81 eV/atom; energy above the lowest structure with this stoichiometry = 2.24 eV/f.u.
1.0
5.267 0.000 0.000
0.000 5.267 0.000
0.000 0.000 5.306
Sb Te Al Be
2 1 1 1
Direct
0.000 0.500 0.000
0.500 0.000 0.000
0.000 0.000 0.500
0.000 0.000 0.000
0.500 0.500 0.500

***

No. 27
TiBeAl2Sb PBE-GGA optimized geometry; energy relative to the elements, uncorrected = 495 meV/atom; SG = No. 123; electronic total energy = -4.15 eV/atom
1.0
-1.245 -3.916 -1.007
3.709 -2.047 3.375
-2.820 0.086 3.152
Sb Be Al Ti
1 1 2 1
Direct
0.000 0.500 0.000
0.000 0.000 0.000
0.000 0.000 0.500
0.500 0.000 0.000
0.500 0.500 0.500

***

No. 28
Sc2BeAl PBE-GGA optimized geometry; SG = No. 8; electronic total energy = -5.20 eV/atom; energy above the lowest structure with this stoichiometry = 0.39 eV/f.u.; energy of formation = -0.171 eV per atom
1.0
5.598 0.027 0.002
4.666 3.092 0.002
1.893 0.575 4.169
Sc Be Al
2 1 1
Direct
0.976 0.976 0.024
0.755 0.755 0.745
0.227 0.227 0.272
0.542 0.542 0.459

***

No. 29
Sc2BeAl PBE-GGA optimized geometry; SG = No. 123; electronic total energy = -5.30 eV/atom; energy above the lowest structure with this stoichiometry = 0.00 eV/f.u.; energy of formation = -0.270 eV per atom
1.0
-2.569 0.258 1.961
1.481 -1.879 2.188
2.708 5.433 2.832
Sc Be Al
2 1 1
Direct
0.000 0.000 0.977
0.000 0.000 0.523
0.500 0.500 0.750
0.500 0.500 0.250